# Li4MgNi2Ge, optimized geometry, DFT GGA-PBE
data_Li4MgNi2Ge
_symmetry_space_group_name_H-M 'P -4 m 2'
_symmetry_Int_Tables_number 115
_symmetry_space_group_name_Hall 'P -4 -2'
_cell_length_a 4.235
_cell_length_b 4.235
_cell_length_c 5.970
_cell_angle_alpha 90.00
_cell_angle_beta 90.00
_cell_angle_gamma 90.00
loop_
_atom_site_label
_atom_site_type_symbol
_atom_site_fract_x
_atom_site_fract_y
_atom_site_fract_z
Li1 Li 0.000 0.000 0.000
Li2 Li 0.000 0.500 0.236
Li3 Li 0.500 0.500 0.500
Mg1 Mg 0.000 0.000 0.500
Ni1 Ni 0.000 0.500 0.783
Ge1 Ge 0.500 0.500 0.000
# Final energy (eV per atom): -3.316

***

# BaU6Ir, optimized geometry, DFT GGA-PBE
data_BaU6Ir
_symmetry_space_group_name_H-M 'R -3'
_symmetry_Int_Tables_number 148
_symmetry_space_group_name_Hall '-R 3'
_cell_length_a 9.1979
_cell_length_b 9.1979
_cell_length_c 7.3755
_cell_angle_alpha 90.00
_cell_angle_beta 90.00
_cell_angle_gamma 120.00
loop_
_atom_site_label
_atom_site_type_symbol
_atom_site_fract_x
_atom_site_fract_y
_atom_site_fract_z
Ba1 Ba 0.0000 0.0000 0.0000
U1 U 0.0058 0.2730 0.3094
Ir1 Ir 0.0000 0.0000 0.5000
# Final energy (eV per atom): -9.466

***

# Gd2HoMg3Ir2Pd, optimized geometry, DFT GGA-PBE
data_Gd2HoMg3Ir2Pd
_symmetry_space_group_name_H-M 'A m m 2'
_symmetry_Int_Tables_number 38
_symmetry_space_group_name_Hall 'A 2 -2'
_cell_length_a 4.023
_cell_length_b 12.751
_cell_length_c 7.384
_cell_angle_alpha 90.00
_cell_angle_beta 90.00
_cell_angle_gamma 90.00
loop_
_atom_site_label
_atom_site_type_symbol
_atom_site_fract_x
_atom_site_fract_y
_atom_site_fract_z
Gd1 Gd 0.000 0.208 0.000
Ho1 Ho 0.000 0.000 0.377
Mg1 Mg 0.500 0.000 0.041
Mg2 Mg 0.500 0.124 0.667
Ir1 Ir 0.500 0.165 0.293
Pd1 Pd 0.000 0.000 0.790
# Final energy (eV per atom): -5.295

***

# HoCoSi2Ag, optimized geometry, DFT GGA-PBE
data_HoCoSi2Ag
_symmetry_space_group_name_H-M 'I -4 m 2'
_symmetry_Int_Tables_number 119
_symmetry_space_group_name_Hall 'I -4 -2'
_cell_length_a 4.045
_cell_length_b 4.045
_cell_length_c 10.101
_cell_angle_alpha 90.00
_cell_angle_beta 90.00
_cell_angle_gamma 90.00
loop_
_atom_site_label
_atom_site_type_symbol
_atom_site_fract_x
_atom_site_fract_y
_atom_site_fract_z
Ho1 Ho 0.000 0.000 0.000
Co1 Co 0.000 0.500 0.250
Si1 Si 0.000 0.000 0.385
Ag1 Ag 0.000 0.500 0.750
# Final energy (eV per atom): -5.527

***

# BeGaFeCu, optimized geometry, DFT GGA-PBE
data_BeGaFeCu
_symmetry_space_group_name_H-M 'F -4 3 m'
_symmetry_Int_Tables_number 216
_symmetry_space_group_name_Hall 'F -4 2 3'
_cell_length_a 5.646
_cell_length_b 5.646
_cell_length_c 5.646
_cell_angle_alpha 90.00
_cell_angle_beta 90.00
_cell_angle_gamma 90.00
loop_
_atom_site_label
_atom_site_type_symbol
_atom_site_fract_x
_atom_site_fract_y
_atom_site_fract_z
Be1 Be 0.000 0.000 0.000
Ga1 Ga 0.000 0.000 0.500
Fe1 Fe 0.250 0.250 0.250
Cu1 Cu 0.250 0.250 0.750
# ΔE to the lowest computed polymorph (meV per atom): 0.0

***

# KDyC2O6, optimized geometry, DFT GGA-PBE
data_KDyC2O6
_symmetry_space_group_name_H-M 'C 1 2/c 1'
_symmetry_Int_Tables_number 15
_symmetry_space_group_name_Hall '-C 2yc'
_cell_length_a 8.436
_cell_length_b 9.465
_cell_length_c 6.826
_cell_angle_alpha 90.00
_cell_angle_beta 110.44
_cell_angle_gamma 90.00
loop_
_atom_site_label
_atom_site_type_symbol
_atom_site_fract_x
_atom_site_fract_y
_atom_site_fract_z
K1 K 0.000 0.121 0.250
Dy1 Dy 0.000 0.404 0.750
C1 C 0.233 0.378 0.258
O1 O 0.084 0.381 0.108
O2 O 0.169 0.227 0.720
O3 O 0.231 0.016 0.615
# Final energy (eV per atom): -7.539